[1]
The following is a PBE calculation of a relaxed Y4Tm4Sc3 crystal, from the Alexandria database.

Size of the total moment, μB per formula unit: 0.00
DOS at the Fermi energy, states/eV per cell: 23.17
Energy, eV per atom: -5.60

Cell and atoms, written as CIF:
```
data_Y4Tm4Sc3
_chemical_formula_sum 'Y4 Tm4 Sc3'
_cell_length_a 3.407
_cell_length_b 5.460
_cell_length_c 17.582
_cell_angle_alpha 81.09
_cell_angle_beta 84.45
_cell_angle_gamma 90.00
_symmetry_space_group_name_H-M 'P -1'
_symmetry_Int_Tables_number 2
loop_
_symmetry_equiv_pos_as_xyz
'x,y,z'
'-x,-y,-z'
loop_
_atom_site_label
_atom_site_fract_x
_atom_site_fract_y
_atom_site_fract_z
_atom_site_occupancy
Y1 0.089 0.088 0.322 1
Y2 0.231 0.731 0.037 1
Tm1 0.045 0.545 0.410 1
Tm2 0.178 0.178 0.143 1
Sc1 0.365 0.365 0.770 1
Sc2 0.500 0.000 0.500 1
```

---

[2]
The following is a PBE calculation of a relaxed Y4Tm4Sc crystal, from the Alexandria database.

Size of the total moment, μB per formula unit: 0.00
DOS at the Fermi energy, states/eV per cell: 26.80
Excess energy over the best structure of this formula in the dataset, eV/f.u.: 0.00

Cell and atoms, written as CIF:
```
data_Y4Tm4Sc
_chemical_formula_sum 'Y8 Tm8 Sc2'
_cell_length_a 10.522
_cell_length_b 10.522
_cell_length_c 4.934
_cell_angle_alpha 90.00
_cell_angle_beta 90.00
_cell_angle_gamma 90.00
_symmetry_space_group_name_H-M 'I 4/m m m'
_symmetry_Int_Tables_number 139
_symmetry_space_group_name_Hall '-I 4 2'
loop_
_atom_site_label
_atom_site_fract_x
_atom_site_fract_y
_atom_site_fract_z
_atom_site_occupancy
Y1 0.165 0.165 0.000 1
Tm1 0.000 0.333 0.500 1
Sc1 0.000 0.000 0.500 1
```

---

[3]
The following is a PBE calculation of a relaxed Y6Tm5Sc crystal, from the Alexandria database.

Size of the total moment, μB per formula unit: 0.00
DOS at the Fermi energy, states/eV per cell: 35.97
Energy, eV per atom: -5.59

Cell and atoms, written as CIF:
```
data_Y6Tm5Sc
_chemical_formula_sum 'Y12 Tm10 Sc2'
_cell_length_a 4.962
_cell_length_b 9.917
_cell_length_c 14.937
_cell_angle_alpha 90.00
_cell_angle_beta 90.00
_cell_angle_gamma 90.00
_symmetry_space_group_name_H-M 'I m m m'
_symmetry_Int_Tables_number 71
_symmetry_space_group_name_Hall '-I 2 2'
loop_
_atom_site_label
_atom_site_fract_x
_atom_site_fract_y
_atom_site_fract_z
_atom_site_occupancy
Y1 0.000 0.246 0.000 1
Y2 0.000 0.252 0.334 1
Tm1 0.000 0.000 0.166 1
Tm2 0.000 0.000 0.500 1
Tm3 0.000 0.500 0.166 1
Sc1 0.000 0.500 0.500 1
```

---

[4]
The following is a PBE calculation of a relaxed Y2Tm4Sc3 crystal, from the Alexandria database.

Size of the total moment, μB per formula unit: 0.00
DOS at the Fermi energy, states/eV per cell: 43.54
Excess energy over the best structure of this formula in the dataset, eV/f.u.: 0.00

Cell and atoms, written as CIF:
```
data_Y2Tm4Sc3
_chemical_formula_sum 'Y8 Tm16 Sc12'
_cell_length_a 16.589
_cell_length_b 9.626
_cell_length_c 6.502
_cell_angle_alpha 90.00
_cell_angle_beta 92.93
_cell_angle_gamma 90.00
_symmetry_space_group_name_H-M 'C 1 2/c 1'
_symmetry_Int_Tables_number 15
loop_
_symmetry_equiv_pos_as_xyz
'x,y,z'
'-x,-y,-z'
'-x,y,-z+1/2'
'x,-y,z+1/2'
'x+1/2,y+1/2,z'
'-x+1/2,-y+1/2,-z'
'-x+1/2,y+1/2,-z+1/2'
'x+1/2,-y+1/2,z+1/2'
loop_
_atom_site_label
_atom_site_fract_x
_atom_site_fract_y
_atom_site_fract_z
_atom_site_occupancy
Y1 0.188 0.123 0.417 1
Tm1 0.022 0.328 0.508 1
Tm2 0.158 0.214 0.906 1
Sc1 0.000 0.010 0.250 1
Sc2 0.155 0.460 0.243 1
```

---

[5]
The following is a PBE calculation of a relaxed Y2TmSc5 crystal, from the Alexandria database.

Size of the total moment, μB per formula unit: 0.00
DOS at the Fermi energy, states/eV per cell: 32.62
Energy, eV per atom: -6.07

Cell and atoms, written as CIF:
```
data_Y2TmSc5
_chemical_formula_sum 'Y4 Tm2 Sc10'
_cell_length_a 6.774
_cell_length_b 6.774
_cell_length_c 9.429
_cell_angle_alpha 90.00
_cell_angle_beta 90.00
_cell_angle_gamma 90.00
_symmetry_space_group_name_H-M 'I 4 m m'
_symmetry_Int_Tables_number 107
_symmetry_space_group_name_Hall 'I 4 -2'
loop_
_atom_site_label
_atom_site_fract_x
_atom_site_fract_y
_atom_site_fract_z
_atom_site_occupancy
Y1 0.000 0.500 0.000 1
Tm1 0.000 0.000 0.000 1
Sc1 0.000 0.000 0.500 1
Sc2 0.250 0.250 0.250 1
```

---

[6]
The following is a PBE calculation of a relaxed Y2Tm2Sc7 crystal, from the Alexandria database.

Size of the total moment, μB per formula unit: 0.00
DOS at the Fermi energy, states/eV per cell: 35.56
Energy, eV per atom: -5.84

Cell and atoms, written as CIF:
```
data_Y2Tm2Sc7
_chemical_formula_sum 'Y4 Tm4 Sc14'
_cell_length_a 6.201
_cell_length_b 11.108
_cell_length_c 9.145
_cell_angle_alpha 90.00
_cell_angle_beta 108.78
_cell_angle_gamma 90.00
_symmetry_space_group_name_H-M 'C 1 2/m 1'
_symmetry_Int_Tables_number 12
loop_
_symmetry_equiv_pos_as_xyz
'x,y,z'
'-x,-y,-z'
'-x,y,-z'
'x,-y,z'
'x+1/2,y+1/2,z'
'-x+1/2,-y+1/2,-z'
'-x+1/2,y+1/2,-z'
'x+1/2,-y+1/2,z'
loop_
_atom_site_label
_atom_site_fract_x
_atom_site_fract_y
_atom_site_fract_z
_atom_site_occupancy
Y1 0.000 0.208 0.000 1
Tm1 0.164 0.500 0.705 1
Sc1 0.000 0.000 0.500 1
Sc2 0.232 0.289 0.343 1
Sc3 0.243 0.500 0.119 1
```